(1)
Below is an optimized crystal structure of Pm5Ho6Sc2, with properties calculated at the PBE level.

Geometry as extended XYZ:
```
26
Lattice="-1.2864 -3.2739 0.6996 10.3519 -4.3319 -1.2380 3.5596 2.8389 19.8313" Properties=species:S:1:pos:R:3 pbc="T T T"
Pm 7.0524 -3.6545 5.0586
Pm 10.9472 -3.1201 14.7213
Ho 4.8587 0.3714 10.6724
Ho 2.5153 -0.1241 13.2373
Ho 7.3241 -2.5584 1.4943
Pm 7.2293 -2.4327 11.1013
Pm 9.3418 -5.4810 0.7202
Ho 9.0528 -1.8644 7.9209
Pm 4.5328 -3.8029 -0.2692
Pm 5.3959 -2.3341 8.1916
Ho 4.2566 -3.0171 2.9006
Ho 6.5874 1.0655 17.0990
Pm 1.1366 -0.2175 10.2654
Sc 8.8704 -0.6215 13.4021
Pm 3.2833 0.7142 18.5727
Sc 9.9606 -3.2420 3.1432
Ho 10.1099 -4.6428 6.0555
Ho 2.4924 -0.8026 0.8269
Sc 3.9510 1.7490 15.4501
Ho 8.3686 -1.7498 16.3923
Ho 3.0950 0.3627 7.3882
Ho 11.4191 -0.6904 17.7664
Ho 10.8165 -1.8556 11.2051
Sc 5.0411 -0.8715 5.1912
Pm 5.5728 -1.1124 14.2343
Pm 1.6779 -1.6468 4.5716
```

Results
Uncorrected energy, eV per atom: -4.858
Formation enthalpy at 0 K, eV per atom: 0.057


(2)
Below is an optimized crystal structure of RbGaAgAu, with properties calculated at the PBE level.

Geometry as extended XYZ:
```
4
Lattice="-0.9680 -1.9328 4.0937 2.4204 -2.4409 -3.1977 4.0836 4.5382 3.1082" Properties=species:S:1:pos:R:3 pbc="T T T"
Rb 2.0257 0.4857 3.3258
Au 5.5278 1.3187 1.9297
Ga 4.3886 3.6621 2.7667
Ag 0.9078 -2.7867 1.5165
```

Results
Uncorrected energy, eV per atom: -2.707
Formation enthalpy at 0 K, eV per atom: -0.176


Question: uncorrected energy of number 2 (RbGaAgAu)?
Answer: -2.707 eV per atom